[1]
## SrCaY2I (GGA-PBEsol)

Data for a relaxed structure of SrCaY2I.

Structure (CIF):
```
data_SrCaY2I
_space_group_name_H-M_alt 'P 4/m m m'
_space_group_IT_number 123
_space_group_name_Hall '-P 4 2'
_cell_length_a 5.714
_cell_length_b 5.714
_cell_length_c 6.082
_cell_angle_alpha 90.00
_cell_angle_beta 90.00
_cell_angle_gamma 90.00
loop_
_atom_site_label
_atom_site_fract_x
_atom_site_fract_y
_atom_site_fract_z
_atom_site_occupancy
Sr1 0.000 0.000 0.000 1
Ca1 0.500 0.500 0.000 1
Y1 0.000 0.500 0.500 1
I1 0.000 0.000 0.500 1
```

Computed properties:
E_tot: -3.8538 eV per atom
Formation energy from raw total energies: 0.12 eV/f.u.
DOS at the Fermi energy: 1.889 states/eV per atom

[2]
## CaTcI3 (GGA-PBEsol)

Data for a relaxed structure of CaTcI3.

Structure (CIF):
```
data_CaTcI3
_space_group_name_H-M_alt 'P m -3 m'
_space_group_IT_number 221
_space_group_name_Hall '-P 4 2 3'
_cell_length_a 5.933
_cell_length_b 5.933
_cell_length_c 5.933
_cell_angle_alpha 90.00
_cell_angle_beta 90.00
_cell_angle_gamma 90.00
loop_
_atom_site_label
_atom_site_fract_x
_atom_site_fract_y
_atom_site_fract_z
_atom_site_occupancy
Ca1 0.000 0.000 0.000 1
Tc1 0.500 0.500 0.500 1
I1 0.000 0.000 0.500 1
```

Computed properties:
E_tot: -3.4278 eV per atom
Formation energy from raw total energies: 1.56 eV/f.u.
DOS at the Fermi energy: 0.732 states/eV per atom

[3]
## CaTcTeI2 (GGA-PBEsol)

Data for a relaxed structure of CaTcTeI2.

Structure (CIF):
```
data_CaTcTeI2
_space_group_name_H-M_alt 'P 4/m m m'
_space_group_IT_number 123
_space_group_name_Hall '-P 4 2'
_cell_length_a 5.491
_cell_length_b 5.491
_cell_length_c 5.062
_cell_angle_alpha 90.00
_cell_angle_beta 90.00
_cell_angle_gamma 90.00
loop_
_atom_site_label
_atom_site_fract_x
_atom_site_fract_y
_atom_site_fract_z
_atom_site_occupancy
Ca1 0.000 0.000 0.000 1
Tc1 0.500 0.500 0.500 1
Te1 0.500 0.500 0.000 1
I1 0.000 0.500 0.500 1
```

Computed properties:
E_tot: -4.1863 eV per atom
Formation energy from raw total energies: -0.47 eV/f.u.
DOS at the Fermi energy: 1.081 states/eV per atom

[4]
## CaTlI3 (GGA-PBEsol)

Data for a relaxed structure of CaTlI3.

Structure (CIF):
```
data_CaTlI3
_space_group_name_H-M_alt 'C m c m'
_space_group_IT_number 63
_space_group_name_Hall '-C 2c 2'
_cell_length_a 4.476
_cell_length_b 14.755
_cell_length_c 11.435
_cell_angle_alpha 90.00
_cell_angle_beta 90.00
_cell_angle_gamma 90.00
loop_
_atom_site_label
_atom_site_fract_x
_atom_site_fract_y
_atom_site_fract_z
_atom_site_occupancy
Ca1 0.000 0.000 0.000 1
Tl1 0.000 0.254 0.250 1
I1 0.000 0.074 0.750 1
I2 0.000 0.360 0.554 1
```

Computed properties:
E_tot: -3.2097 eV per atom
Formation energy from raw total energies: -5.98 eV/f.u.
DOS at the Fermi energy: 0.000 states/eV per atom

[5]
## Ca3WI (GGA-PBEsol)

Data for a relaxed structure of Ca3WI.

Structure (CIF):
```
data_Ca3WI
_space_group_name_H-M_alt 'P m -3 m'
_space_group_IT_number 221
_space_group_name_Hall '-P 4 2 3'
_cell_length_a 5.480
_cell_length_b 5.480
_cell_length_c 5.480
_cell_angle_alpha 90.00
_cell_angle_beta 90.00
_cell_angle_gamma 90.00
loop_
_atom_site_label
_atom_site_fract_x
_atom_site_fract_y
_atom_site_fract_z
_atom_site_occupancy
Ca1 0.000 0.000 0.500 1
W1 0.000 0.000 0.000 1
I1 0.500 0.500 0.500 1
```

Computed properties:
E_tot: -3.7127 eV per atom
Formation energy from raw total energies: 3.41 eV/f.u.
DOS at the Fermi energy: 0.649 states/eV per atom

[6]
## CaZn3I (GGA-PBEsol)

Data for a relaxed structure of CaZn3I.

Structure (CIF):
```
data_CaZn3I
_space_group_name_H-M_alt 'P m -3 m'
_space_group_IT_number 221
_space_group_name_Hall '-P 4 2 3'
_cell_length_a 5.720
_cell_length_b 5.720
_cell_length_c 5.720
_cell_angle_alpha 90.00
_cell_angle_beta 90.00
_cell_angle_gamma 90.00
loop_
_atom_site_label
_atom_site_fract_x
_atom_site_fract_y
_atom_site_fract_z
_atom_site_occupancy
Ca1 0.000 0.000 0.000 1
Zn1 0.000 0.000 0.500 1
I1 0.500 0.500 0.500 1
```

Computed properties:
E_tot: -1.1626 eV per atom
Formation energy from raw total energies: 2.83 eV/f.u.
DOS at the Fermi energy: 0.516 states/eV per atom

Question: Among the records above, which one has the highest formation energy from raw total energies?
Answer: Ca3WI

Question: What is the formation energy from raw total energies in the fourth record?
Answer: -5.98 eV/f.u.

Question: What is the E_tot in the third record?
Answer: -4.1863 eV per atom

Question: Which of these has the highest formation energy from raw total energies?
Answer: Ca3WI